Model w:
The following is a DFT calculation (PBE) of a relaxed K2Li2Au crystal.

Properties
DOS at the Fermi energy	0.56	states/eV per atom
SG	I4/mmm, No. 139

CIF file:
```
data_K2Li2Au
_chemical_formula_sum 'K2 Li2 Au1'
_cell_length_a 4.048
_cell_length_b 4.048
_cell_length_c 10.957
_cell_angle_alpha 79.36
_cell_angle_beta 79.36
_cell_angle_gamma 90.00
_symmetry_space_group_name_H-M 'P 1'
_symmetry_Int_Tables_number 1
_symmetry_space_group_name_Hall 'P 1'
loop_
_atom_site_label
_atom_site_type_symbol
_atom_site_fract_x
_atom_site_fract_y
_atom_site_fract_z
K1 K 0.408 0.408 0.185
K2 K 0.592 0.592 0.815
Au1 Au 0.000 0.000 0.000
Li1 Li 0.750 0.250 0.500
Li2 Li 0.250 0.750 0.500
```


Model x:
The following is a DFT calculation (PBE) of a relaxed K2Li2Au crystal.

Properties
DOS at the Fermi energy	0.36	states/eV per atom
SG	P4/mbm, No. 127

CIF file:
```
data_K2Li2Au
_chemical_formula_sum 'K4 Li4 Au2'
_cell_length_a 7.247
_cell_length_b 7.247
_cell_length_c 5.876
_cell_angle_alpha 90.00
_cell_angle_beta 90.00
_cell_angle_gamma 90.00
_symmetry_space_group_name_H-M 'P 1'
_symmetry_Int_Tables_number 1
_symmetry_space_group_name_Hall 'P 1'
loop_
_atom_site_label
_atom_site_type_symbol
_atom_site_fract_x
_atom_site_fract_y
_atom_site_fract_z
K1 K 0.194 0.694 0.500
K2 K 0.694 0.806 0.500
K3 K 0.806 0.306 0.500
K4 K 0.306 0.194 0.500
Au1 Au 0.000 0.000 0.000
Au2 Au 0.500 0.500 0.000
Li1 Li 0.343 0.843 0.000
Li2 Li 0.843 0.657 0.000
Li3 Li 0.657 0.157 0.000
Li4 Li 0.157 0.343 0.000
```


Of them, model w has the lowest stability.


Model w:
The following is a DFT calculation (PBE) of a relaxed KNa2LiAu crystal.

Properties
DOS at the Fermi energy	0.40	states/eV per atom
SG	P4/mmm, No. 123

CIF file:
```
data_KNa2LiAu
_chemical_formula_sum 'K1 Na2 Li1 Au1'
_cell_length_a 5.656
_cell_length_b 5.656
_cell_length_c 4.957
_cell_angle_alpha 90.00
_cell_angle_beta 90.00
_cell_angle_gamma 90.00
_symmetry_space_group_name_H-M 'P 1'
_symmetry_Int_Tables_number 1
_symmetry_space_group_name_Hall 'P 1'
loop_
_atom_site_label
_atom_site_type_symbol
_atom_site_fract_x
_atom_site_fract_y
_atom_site_fract_z
Na1 Na 0.000 0.500 0.000
Na2 Na 0.500 0.000 0.000
K1 K 0.500 0.500 0.500
Au1 Au 0.000 0.000 0.500
Li1 Li 0.000 0.000 0.000
```


Model x:
The following is a DFT calculation (PBE) of a relaxed KNa2LiAu crystal.

Properties
DOS at the Fermi energy	0.39	states/eV per atom
SG	P4/mmm, No. 123

CIF file:
```
data_KNa2LiAu
_chemical_formula_sum 'K1 Na2 Li1 Au1'
_cell_length_a 5.767
_cell_length_b 5.767
_cell_length_c 5.221
_cell_angle_alpha 90.00
_cell_angle_beta 90.00
_cell_angle_gamma 90.00
_symmetry_space_group_name_H-M 'P 1'
_symmetry_Int_Tables_number 1
_symmetry_space_group_name_Hall 'P 1'
loop_
_atom_site_label
_atom_site_type_symbol
_atom_site_fract_x
_atom_site_fract_y
_atom_site_fract_z
Na1 Na 0.000 0.500 0.000
Na2 Na 0.500 0.000 0.000
K1 K 0.500 0.500 0.500
Au1 Au 0.000 0.000 0.000
Li1 Li 0.000 0.000 0.500
```


Of them, model w has the lowest stability.


Model w:
The following is a DFT calculation (PBE) of a relaxed K2RbLiAu crystal.

Properties
DOS at the Fermi energy	0.71	states/eV per atom
SG	P4/mmm, No. 123

CIF file:
```
data_K2RbLiAu
_chemical_formula_sum 'K2 Rb1 Li1 Au1'
_cell_length_a 6.670
_cell_length_b 6.670
_cell_length_c 5.072
_cell_angle_alpha 90.00
_cell_angle_beta 90.00
_cell_angle_gamma 90.00
_symmetry_space_group_name_H-M 'P 1'
_symmetry_Int_Tables_number 1
_symmetry_space_group_name_Hall 'P 1'
loop_
_atom_site_label
_atom_site_type_symbol
_atom_site_fract_x
_atom_site_fract_y
_atom_site_fract_z
K1 K 0.000 0.500 0.000
K2 K 0.500 0.000 0.000
Au1 Au 0.000 0.000 0.500
Rb1 Rb 0.500 0.500 0.500
Li1 Li 0.000 0.000 0.000
```


Model x:
The following is a DFT calculation (PBE) of a relaxed K2RbLiAu crystal.

Properties
DOS at the Fermi energy	0.82	states/eV per atom
SG	P4/mmm, No. 123

CIF file:
```
data_K2RbLiAu
_chemical_formula_sum 'K2 Rb1 Li1 Au1'
_cell_length_a 6.637
_cell_length_b 6.637
_cell_length_c 5.392
_cell_angle_alpha 90.00
_cell_angle_beta 90.00
_cell_angle_gamma 90.00
_symmetry_space_group_name_H-M 'P 1'
_symmetry_Int_Tables_number 1
_symmetry_space_group_name_Hall 'P 1'
loop_
_atom_site_label
_atom_site_type_symbol
_atom_site_fract_x
_atom_site_fract_y
_atom_site_fract_z
K1 K 0.000 0.500 0.000
K2 K 0.500 0.000 0.000
Au1 Au 0.000 0.000 0.000
Rb1 Rb 0.500 0.500 0.500
Li1 Li 0.000 0.000 0.500
```


Of them, model w has the lowest stability.


Model w:
The following is a DFT calculation (PBE) of a relaxed K2LiRuAu crystal.

Properties
DOS at the Fermi energy	0.87	states/eV per atom
SG	P4/mmm, No. 123

CIF file:
```
data_K2LiRuAu
_chemical_formula_sum 'K2 Li1 Ru1 Au1'
_cell_length_a 5.852
_cell_length_b 4.570
_cell_length_c 5.852
_cell_angle_alpha 90.00
_cell_angle_beta 90.00
_cell_angle_gamma 90.00
_symmetry_space_group_name_H-M 'P 1'
_symmetry_Int_Tables_number 1
_symmetry_space_group_name_Hall 'P 1'
loop_
_atom_site_label
_atom_site_type_symbol
_atom_site_fract_x
_atom_site_fract_y
_atom_site_fract_z
Ru1 Ru 0.000 0.500 0.000
K1 K 0.000 0.000 0.500
K2 K 0.500 0.000 0.000
Au1 Au 0.500 0.500 0.500
Li1 Li 0.000 0.000 0.000
```


Model x:
The following is a DFT calculation (PBE) of a relaxed K2LiRuAu crystal.

Properties
DOS at the Fermi energy	0.52	states/eV per atom
SG	P4/mmm, No. 123

CIF file:
```
data_K2LiRuAu
_chemical_formula_sum 'K2 Li1 Ru1 Au1'
_cell_length_a 6.134
_cell_length_b 5.175
_cell_length_c 6.134
_cell_angle_alpha 90.00
_cell_angle_beta 90.00
_cell_angle_gamma 90.00
_symmetry_space_group_name_H-M 'P 1'
_symmetry_Int_Tables_number 1
_symmetry_space_group_name_Hall 'P 1'
loop_
_atom_site_label
_atom_site_type_symbol
_atom_site_fract_x
_atom_site_fract_y
_atom_site_fract_z
Ru1 Ru 0.000 0.500 0.000
K1 K 0.000 0.000 0.500
K2 K 0.500 0.000 0.000
Au1 Au 0.000 0.000 0.000
Li1 Li 0.500 0.500 0.500
```


Of them, model w has the lowest stability.


Model w:
The following is a DFT calculation (PBE) of a relaxed K2LiAuSe crystal.

Properties
DOS at the Fermi energy	0.63	states/eV per atom
SG	P4/mmm, No. 123

CIF file:
```
data_K2LiAuSe
_chemical_formula_sum 'K2 Li1 Au1 Se1'
_cell_length_a 6.548
_cell_length_b 4.925
_cell_length_c 6.548
_cell_angle_alpha 90.00
_cell_angle_beta 90.00
_cell_angle_gamma 90.00
_symmetry_space_group_name_H-M 'P 1'
_symmetry_Int_Tables_number 1
_symmetry_space_group_name_Hall 'P 1'
loop_
_atom_site_label
_atom_site_type_symbol
_atom_site_fract_x
_atom_site_fract_y
_atom_site_fract_z
K1 K 0.000 0.000 0.500
K2 K 0.500 0.000 0.000
Au1 Au 0.000 0.000 0.000
Se1 Se 0.000 0.500 0.000
Li1 Li 0.500 0.500 0.500
```


Model x:
The following is a DFT calculation (PBE) of a relaxed K2LiAuSe crystal.

Properties
DOS at the Fermi energy	0.00	states/eV per atom
SG	P4/mmm, No. 123

CIF file:
```
data_K2LiAuSe
_chemical_formula_sum 'K2 Li1 Au1 Se1'
_cell_length_a 6.301
_cell_length_b 6.301
_cell_length_c 4.696
_cell_angle_alpha 90.00
_cell_angle_beta 90.00
_cell_angle_gamma 90.00
_symmetry_space_group_name_H-M 'P 1'
_symmetry_Int_Tables_number 1
_symmetry_space_group_name_Hall 'P 1'
loop_
_atom_site_label
_atom_site_type_symbol
_atom_site_fract_x
_atom_site_fract_y
_atom_site_fract_z
K1 K 0.000 0.500 0.000
K2 K 0.500 0.000 0.000
Au1 Au 0.500 0.500 0.500
Se1 Se 0.000 0.000 0.000
Li1 Li 0.000 0.000 0.500
```


Of them, model w has the lowest stability.


Model w:
The following is a DFT calculation (PBE) of a relaxed KLuAu2 crystal.

Properties
DOS at the Fermi energy	0.58	states/eV per atom
SG	P4/mmm, No. 123

CIF file:
```
data_KLuAu2
_chemical_formula_sum 'K1 Lu1 Au2'
_cell_length_a 3.613
_cell_length_b 3.613
_cell_length_c 8.107
_cell_angle_alpha 90.00
_cell_angle_beta 90.00
_cell_angle_gamma 90.00
_symmetry_space_group_name_H-M 'P 1'
_symmetry_Int_Tables_number 1
_symmetry_space_group_name_Hall 'P 1'
loop_
_atom_site_label
_atom_site_type_symbol
_atom_site_fract_x
_atom_site_fract_y
_atom_site_fract_z
K1 K 0.500 0.500 0.500
Lu1 Lu 0.500 0.500 0.000
Au1 Au 0.000 0.000 0.814
Au2 Au 0.000 0.000 0.186
```


Model x:
The following is a DFT calculation (PBE) of a relaxed KLuAu2 crystal.

Properties
DOS at the Fermi energy	0.83	states/eV per atom
SG	R-3m, No. 166

CIF file:
```
data_KLuAu2
_chemical_formula_sum 'K1 Lu1 Au2'
_cell_length_a 4.088
_cell_length_b 4.088
_cell_length_c 8.556
_cell_angle_alpha 76.18
_cell_angle_beta 76.18
_cell_angle_gamma 60.00
_symmetry_space_group_name_H-M 'P 1'
_symmetry_Int_Tables_number 1
_symmetry_space_group_name_Hall 'P 1'
loop_
_atom_site_label
_atom_site_type_symbol
_atom_site_fract_x
_atom_site_fract_y
_atom_site_fract_z
K1 K 0.500 0.500 0.500
Lu1 Lu 0.000 0.000 0.000
Au1 Au 0.732 0.732 0.804
Au2 Au 0.268 0.268 0.196
```


Of them, model x has the lowest stability.